# 1
Density functional theory data (PBE-GGA) for a geometry-optimized LiNd2Ge2 structure.

## Properties
DFT formation energy (meV per atom): -707
Space-group type: C2/m (12)
DOS(E_F) (states/eV per cell): 4.30

a b c (Å): 6.011 6.011 10.730
angles (deg): 116.28 116.28 43.18
Positions (direct):
Li  0.227  0.227  0.367
Li  0.773  0.773  0.633
Nd  0.311  0.311  0.900
Nd  0.490  0.490  0.671
Nd  0.510  0.510  0.329
Nd  0.689  0.689  0.100
Ge  0.013  0.013  0.884
Ge  0.133  0.133  0.573
Ge  0.867  0.867  0.427
Ge  0.987  0.987  0.116

# 2
Density functional theory data (PBE-GGA) for a geometry-optimized LiNdGe structure.

## Properties
DFT formation energy (meV per atom): -684
Space-group type: P-62m (189)
DOS(E_F) (states/eV per cell): 1.19

a b c (Å): 7.300 7.300 4.385
angles (deg): 90.00 90.00 120.00
Positions (direct):
Li  0.000  0.233  0.000
Li  0.233  0.000  0.000
Li  0.767  0.767  0.000
Nd  0.000  0.580  0.500
Nd  0.420  0.420  0.500
Nd  0.580  0.000  0.500
Ge  0.000  0.000  0.500
Ge  0.333  0.667  0.000
Ge  0.667  0.333  0.000

# 3
Density functional theory data (PBE-GGA) for a geometry-optimized LiNd2Ni4Ge3 structure.

## Properties
DFT formation energy (meV per atom): -599
Space-group type: P-4m2 (115)
DOS(E_F) (states/eV per cell): 8.58

a b c (Å): 4.128 4.128 9.792
angles (deg): 90.00 90.00 90.00
Positions (direct):
Li  0.000  0.000  0.000
Nd  0.000  0.500  0.749
Nd  0.500  0.000  0.251
Ni  0.000  0.000  0.500
Ni  0.000  0.500  0.129
Ni  0.500  0.000  0.871
Ni  0.500  0.500  0.500
Ge  0.000  0.500  0.372
Ge  0.500  0.000  0.628
Ge  0.500  0.500  0.000